A plane-wave DFT calculation with GGA+U was carried out for an optimized crystal structure of NpVSnO6.

abc: 5.416 5.416 10.263
angles: 90.00 90.00 120.00
Positions (direct):
Np1 0.667 0.333 0.250
Np2 0.333 0.667 0.750
V1 0.333 0.667 0.250
V2 0.667 0.333 0.750
Sn1 0.000 0.000 0.000
Sn2 0.000 0.000 0.500
O1 0.626 0.640 0.146
O2 0.015 0.374 0.146
O3 0.374 0.015 0.646
O4 0.985 0.626 0.854
O5 0.360 0.374 0.354
O6 0.015 0.640 0.354
O7 0.640 0.015 0.854
O8 0.626 0.985 0.354
O9 0.985 0.360 0.646
O10 0.360 0.985 0.146
O11 0.640 0.626 0.646
O12 0.374 0.360 0.854

Output
mass density	6.40	g/cm³
raw total energy	-8.1448	eV per atom